# Pr2Dy5Th3 | the Alexandria database | PBE | relaxed
# Energy of formation from the pure elements, eV per atom: 0.0501
# Uncorrected energy, eV/atom: -5.433
data_Pr2Dy5Th3
_symmetry_space_group_name_H-M 'P 1'
_symmetry_Int_Tables_number 1
_cell_length_a 6.232
_cell_length_b 6.232
_cell_length_c 11.351
_cell_angle_alpha 90.22
_cell_angle_beta 90.22
_cell_angle_gamma 47.83
loop_
_symmetry_equiv_pos_as_xyz
'x,y,z'
loop_
_atom_site_label
_atom_site_type_symbol
_atom_site_fract_x
_atom_site_fract_y
_atom_site_fract_z
Pr1 Pr 0.098 0.098 0.202
Pr2 Pr 0.902 0.902 0.798
Dy1 Dy 0.200 0.200 0.897
Dy2 Dy 0.299 0.299 0.597
Dy3 Dy 0.500 0.500 0.000
Dy4 Dy 0.701 0.701 0.403
Dy5 Dy 0.800 0.800 0.103
Th1 Th 0.000 0.000 0.500
Th2 Th 0.401 0.401 0.302
Th3 Th 0.599 0.599 0.698

# Pr2Dy4Th3 | the Alexandria database | PBE | relaxed
# Energy of formation from the pure elements, eV per atom: 0.0816
# Uncorrected energy, eV/atom: -5.499
data_Pr2Dy4Th3
_symmetry_space_group_name_H-M 'P 1'
_symmetry_Int_Tables_number 1
_cell_length_a 3.580
_cell_length_b 3.580
_cell_length_c 26.825
_cell_angle_alpha 90.00
_cell_angle_beta 90.00
_cell_angle_gamma 120.00
loop_
_symmetry_equiv_pos_as_xyz
'x,y,z'
loop_
_atom_site_label
_atom_site_type_symbol
_atom_site_fract_x
_atom_site_fract_y
_atom_site_fract_z
Pr1 Pr 0.000 0.000 0.000
Pr2 Pr 0.000 0.000 0.223
Dy1 Dy 0.000 0.000 0.350
Dy2 Dy 0.000 0.000 0.566
Dy3 Dy 0.333 0.667 0.672
Dy4 Dy 0.333 0.667 0.887
Th1 Th 0.000 0.000 0.780
Th2 Th 0.333 0.667 0.112
Th3 Th 0.333 0.667 0.455

# Pr6Dy2Th | the Alexandria database | PBE | relaxed
# Energy of formation from the pure elements, eV per atom: 0.0619
# Uncorrected energy, eV/atom: -4.971
# ΔE to the lowest computed polymorph, eV per atom: 0.000
data_Pr6Dy2Th
_symmetry_space_group_name_H-M 'P 1'
_symmetry_Int_Tables_number 1
_cell_length_a 3.652
_cell_length_b 3.652
_cell_length_c 27.400
_cell_angle_alpha 90.00
_cell_angle_beta 90.00
_cell_angle_gamma 120.00
loop_
_symmetry_equiv_pos_as_xyz
'x,y,z'
loop_
_atom_site_label
_atom_site_type_symbol
_atom_site_fract_x
_atom_site_fract_y
_atom_site_fract_z
Pr1 Pr 0.000 0.000 0.066
Pr2 Pr 0.000 0.000 0.278
Pr3 Pr 0.000 0.000 0.722
Pr4 Pr 0.000 0.000 0.934
Pr5 Pr 0.333 0.667 0.392
Pr6 Pr 0.333 0.667 0.608
Dy1 Dy 0.333 0.667 0.170
Dy2 Dy 0.333 0.667 0.830
Th1 Th 0.000 0.000 0.500

# Pr3Dy8Th | the Alexandria database | PBE | relaxed
# Energy of formation from the pure elements, eV per atom: 0.0340
# Uncorrected energy, eV/atom: -4.847
data_Pr3Dy8Th
_symmetry_space_group_name_H-M 'P 1'
_symmetry_Int_Tables_number 1
_cell_length_a 8.545
_cell_length_b 8.545
_cell_length_c 8.545
_cell_angle_alpha 100.59
_cell_angle_beta 95.06
_cell_angle_gamma 136.71
loop_
_symmetry_equiv_pos_as_xyz
'x,y,z'
loop_
_atom_site_label
_atom_site_type_symbol
_atom_site_fract_x
_atom_site_fract_y
_atom_site_fract_z
Pr1 Pr 0.000 0.000 0.000
Pr2 Pr 0.412 0.663 0.749
Pr3 Pr 0.914 0.663 0.251
Dy1 Dy 0.408 0.321 0.416
Dy2 Dy 0.408 0.992 0.087
Dy3 Dy 0.490 0.316 0.826
Dy4 Dy 0.490 0.664 0.174
Dy5 Dy 0.905 0.321 0.913
Dy6 Dy 0.905 0.992 0.584
Dy7 Dy 0.987 0.321 0.333
Dy8 Dy 0.987 0.654 0.667
Th1 Th 0.502 0.002 0.500

# Pr4DyTh | the Alexandria database | PBE | relaxed
# Energy of formation from the pure elements, eV per atom: 0.0713
# Uncorrected energy, eV/atom: -5.119
# ΔE to the lowest computed polymorph, eV per atom: 0.028
data_Pr4DyTh
_symmetry_space_group_name_H-M 'P 1'
_symmetry_Int_Tables_number 1
_cell_length_a 5.790
_cell_length_b 5.790
_cell_length_c 7.111
_cell_angle_alpha 90.00
_cell_angle_beta 90.00
_cell_angle_gamma 120.00
loop_
_symmetry_equiv_pos_as_xyz
'x,y,z'
loop_
_atom_site_label
_atom_site_type_symbol
_atom_site_fract_x
_atom_site_fract_y
_atom_site_fract_z
Pr1 Pr 0.333 0.667 0.246
Pr2 Pr 0.333 0.667 0.754
Pr3 Pr 0.667 0.333 0.246
Pr4 Pr 0.667 0.333 0.754
Dy1 Dy 0.000 0.000 0.000
Th1 Th 0.000 0.000 0.500

# Pr4DyTh2 | the Alexandria database | PBE | relaxed
# Energy of formation from the pure elements, eV per atom: 0.0402
# Uncorrected energy, eV/atom: -5.468
data_Pr4DyTh2
_symmetry_space_group_name_H-M 'P 1'
_symmetry_Int_Tables_number 1
_cell_length_a 21.002
_cell_length_b 21.002
_cell_length_c 21.002
_cell_angle_alpha 9.96
_cell_angle_beta 9.96
_cell_angle_gamma 9.96
loop_
_symmetry_equiv_pos_as_xyz
'x,y,z'
loop_
_atom_site_label
_atom_site_type_symbol
_atom_site_fract_x
_atom_site_fract_y
_atom_site_fract_z
Pr1 Pr 0.096 0.096 0.096
Pr2 Pr 0.380 0.380 0.380
Pr3 Pr 0.620 0.620 0.620
Pr4 Pr 0.904 0.904 0.904
Dy1 Dy 0.000 0.000 0.000
Th1 Th 0.189 0.189 0.189
Th2 Th 0.811 0.811 0.811

# Pr2Dy8Th | the Alexandria database | PBE | relaxed
# Energy of formation from the pure elements, eV per atom: 0.1943
# Uncorrected energy, eV/atom: -4.696
# ΔE to the lowest computed polymorph, eV per atom: 0.167
data_Pr2Dy8Th
_symmetry_space_group_name_H-M 'P 1'
_symmetry_Int_Tables_number 1
_cell_length_a 10.234
_cell_length_b 10.234
_cell_length_c 5.624
_cell_angle_alpha 93.57
_cell_angle_beta 93.57
_cell_angle_gamma 39.14
loop_
_symmetry_equiv_pos_as_xyz
'x,y,z'
loop_
_atom_site_label
_atom_site_type_symbol
_atom_site_fract_x
_atom_site_fract_y
_atom_site_fract_z
Pr1 Pr 0.218 0.218 0.253
Pr2 Pr 0.782 0.782 0.747
Dy1 Dy 0.049 0.049 0.230
Dy2 Dy 0.113 0.633 0.274
Dy3 Dy 0.319 0.319 0.776
Dy4 Dy 0.367 0.887 0.726
Dy5 Dy 0.633 0.113 0.274
Dy6 Dy 0.681 0.681 0.224
Dy7 Dy 0.887 0.367 0.726
Dy8 Dy 0.951 0.951 0.770
Th1 Th 0.500 0.500 0.000

# Pr6Dy8Th | the Alexandria database | PBE | relaxed
# Energy of formation from the pure elements, eV per atom: 0.1204
# Uncorrected energy, eV/atom: -4.741
data_Pr6Dy8Th
_symmetry_space_group_name_H-M 'P 1'
_symmetry_Int_Tables_number 1
_cell_length_a 8.777
_cell_length_b 8.777
_cell_length_c 8.777
_cell_angle_alpha 62.90
_cell_angle_beta 62.90
_cell_angle_gamma 62.90
loop_
_symmetry_equiv_pos_as_xyz
'x,y,z'
loop_
_atom_site_label
_atom_site_type_symbol
_atom_site_fract_x
_atom_site_fract_y
_atom_site_fract_z
Pr1 Pr 0.037 0.731 0.599
Pr2 Pr 0.269 0.401 0.963
Pr3 Pr 0.401 0.963 0.269
Pr4 Pr 0.599 0.037 0.731
Pr5 Pr 0.731 0.599 0.037
Pr6 Pr 0.963 0.269 0.401
Dy1 Dy 0.077 0.077 0.077
Dy2 Dy 0.213 0.258 0.614
Dy3 Dy 0.258 0.614 0.213
Dy4 Dy 0.386 0.787 0.742
Dy5 Dy 0.614 0.213 0.258
Dy6 Dy 0.742 0.386 0.787
Dy7 Dy 0.787 0.742 0.386
Dy8 Dy 0.923 0.923 0.923
Th1 Th 0.500 0.500 0.500